1.
Entry from the Alexandria database: an optimized crystal structure of ScPO3 (PBE). Values from VASP.

Calculated values
Formation energy without anion corrections, eV/atom: -0.9812
Magnetic moment, μB per atom: 0.000
ρ, Mg/m³: 3.25
Electronic total energy, eV/atom: -6.30

The structure in Quantum ESPRESSO input format:
```
&SYSTEM
  ibrav = 0, nat = 5, ntyp = 3
/
ATOMIC_SPECIES
Sc 44.96 Sc.upf
P 30.97 P.upf
O 16.00 O.upf
ATOMIC_POSITIONS crystal
Sc 0.000 0.000 0.000
P 0.500 0.500 0.500
O 0.000 0.000 0.500
O 0.000 0.500 0.000
O 0.500 0.000 0.000
CELL_PARAMETERS angstrom
3.984 0.000 0.000
0.000 3.984 0.000
0.000 0.000 3.984
```

2.
Entry from the Alexandria database: an optimized crystal structure of Cu2ReO6 (PBE). Values from VASP.

Calculated values
Formation energy without anion corrections, eV/atom: -0.8930
Magnetic moment, μB per atom: 0.160
ρ, Mg/m³: 7.12
Electronic total energy, eV/atom: -6.49

The structure in Quantum ESPRESSO input format:
```
&SYSTEM
  ibrav = 0, nat = 18, ntyp = 3
/
ATOMIC_SPECIES
Cu 63.55 Cu.upf
Re 186.21 Re.upf
O 16.00 O.upf
ATOMIC_POSITIONS crystal
Cu 0.000 0.000 0.164
Cu 0.000 0.000 0.836
Cu 0.500 0.500 0.336
Cu 0.500 0.500 0.664
Re 0.000 0.000 0.500
Re 0.500 0.500 0.000
O 0.194 0.194 0.342
O 0.194 0.194 0.658
O 0.206 0.206 0.000
O 0.294 0.706 0.500
O 0.306 0.694 0.158
O 0.306 0.694 0.842
O 0.694 0.306 0.158
O 0.694 0.306 0.842
O 0.706 0.294 0.500
O 0.794 0.794 0.000
O 0.806 0.806 0.342
O 0.806 0.806 0.658
CELL_PARAMETERS angstrom
4.608 0.000 0.000
0.000 4.608 0.000
0.000 0.000 8.997
```

3.
Entry from the Alexandria database: an optimized crystal structure of RbSr2TcBr (PBE). Values from VASP.

Calculated values
Formation energy without anion corrections, eV/atom: 0.4006
Magnetic moment, μB per atom: 0.000
ρ, Mg/m³: 3.98
Electronic total energy, eV/atom: -2.87

The structure in Quantum ESPRESSO input format:
```
&SYSTEM
  ibrav = 0, nat = 5, ntyp = 4
/
ATOMIC_SPECIES
Rb 85.47 Rb.upf
Sr 87.62 Sr.upf
Tc 98.00 Tc.upf
Br 79.90 Br.upf
ATOMIC_POSITIONS crystal
Rb 0.000 0.000 0.000
Sr 0.000 0.500 0.500
Sr 0.500 0.000 0.500
Tc 0.500 0.500 0.000
Br 0.500 0.500 0.500
CELL_PARAMETERS angstrom
6.213 0.000 0.000
0.000 6.213 0.000
0.000 0.000 4.739
```

4.
Entry from the Alexandria database: an optimized crystal structure of Pu2ZnHg (PBE). Values from VASP.

Calculated values
Magnetic moment, μB per atom: 0.266
Energy above the lowest structure with this stoichiometry, meV per atom: 456
ρ, Mg/m³: 17.65
Electronic total energy, eV/atom: -7.15

The structure in Quantum ESPRESSO input format:
```
&SYSTEM
  ibrav = 0, nat = 4, ntyp = 3
/
ATOMIC_SPECIES
Pu 244.00 Pu.upf
Zn 65.41 Zn.upf
Hg 200.59 Hg.upf
ATOMIC_POSITIONS crystal
Pu 0.000 0.500 0.000
Pu 0.500 0.000 0.000
Zn 0.000 0.000 0.500
Hg 0.500 0.500 0.500
CELL_PARAMETERS angstrom
3.637 0.000 0.000
0.000 3.637 0.000
0.000 0.000 5.363
```

5.
Entry from the Alexandria database: an optimized crystal structure of Na2MgAg (PBE). Values from VASP.

Calculated values
Magnetic moment, μB per atom: 0.000
ρ, Mg/m³: 3.02
Electronic total energy, eV/atom: -1.68

The structure in Quantum ESPRESSO input format:
```
&SYSTEM
  ibrav = 0, nat = 4, ntyp = 3
/
ATOMIC_SPECIES
Na 22.99 Na.upf
Mg 24.30 Mg.upf
Ag 107.87 Ag.upf
ATOMIC_POSITIONS crystal
Na 0.000 0.000 0.000
Na 0.181 0.181 0.181
Mg 0.424 0.424 0.424
Ag 0.591 0.591 0.591
CELL_PARAMETERS angstrom
1.621 0.936 10.762
-1.621 0.936 10.762
0.000 -1.872 10.762
```

6.
Entry from the Alexandria database: an optimized crystal structure of Be2SiC (PBE). Values from VASP.

Calculated values
Formation energy without anion corrections, eV/atom: 1.3547
Magnetic moment, μB per atom: 0.000
Energy above the lowest structure with this stoichiometry, meV per atom: 665
ρ, Mg/m³: 2.43
Electronic total energy, eV/atom: -4.17

The structure in Quantum ESPRESSO input format:
```
&SYSTEM
  ibrav = 0, nat = 4, ntyp = 3
/
ATOMIC_SPECIES
Be 9.01 Be.upf
Si 28.09 Si.upf
C 12.01 C.upf
ATOMIC_POSITIONS crystal
Be 0.250 0.250 0.250
Be 0.750 0.750 0.750
Si 0.000 0.000 0.000
C 0.500 0.500 0.500
CELL_PARAMETERS angstrom
0.000 2.706 2.706
2.706 0.000 2.706
2.706 2.706 0.000
```

7.
Entry from the Alexandria database: an optimized crystal structure of PmHo2Ag (PBE). Values from VASP.

Calculated values
Magnetic moment, μB per atom: 0.000
Energy above the lowest structure with this stoichiometry, meV per atom: 152
ρ, Mg/m³: 8.71
Electronic total energy, eV/atom: -4.17

The structure in Quantum ESPRESSO input format:
```
&SYSTEM
  ibrav = 0, nat = 4, ntyp = 3
/
ATOMIC_SPECIES
Pm 145.00 Pm.upf
Ho 164.93 Ho.upf
Ag 107.87 Ag.upf
ATOMIC_POSITIONS crystal
Pm 0.000 0.000 0.000
Ho 0.000 0.500 0.500
Ho 0.500 0.000 0.500
Ag 0.500 0.500 0.000
CELL_PARAMETERS angstrom
4.792 0.000 0.000
0.000 4.792 0.000
0.000 0.000 4.838
```

8.
Entry from the Alexandria database: an optimized crystal structure of NaSN2Cl (PBE). Values from VASP.

Calculated values
Formation energy without anion corrections, eV/atom: 1.7806
Magnetic moment, μB per atom: 0.693
Energy above the lowest structure with this stoichiometry, meV per atom: 0
ρ, Mg/m³: 2.25
Electronic total energy, eV/atom: -3.01

The structure in Quantum ESPRESSO input format:
```
&SYSTEM
  ibrav = 0, nat = 5, ntyp = 4
/
ATOMIC_SPECIES
Na 22.99 Na.upf
S 32.06 S.upf
N 14.01 N.upf
Cl 35.45 Cl.upf
ATOMIC_POSITIONS crystal
Na 0.000 0.000 0.000
S 0.500 0.500 0.000
N 0.000 0.500 0.500
N 0.500 0.000 0.500
Cl 0.500 0.500 0.500
CELL_PARAMETERS angstrom
4.173 0.000 0.000
0.000 4.173 0.000
0.000 0.000 5.018
```

9.
Entry from the Alexandria database: an optimized crystal structure of Li2AgGeCl6 (PBE). Values from VASP.

Calculated values
Formation energy without anion corrections, eV/atom: -1.0505
Magnetic moment, μB per atom: 0.095
ρ, Mg/m³: 2.32
Electronic total energy, eV/atom: -3.29

The structure in Quantum ESPRESSO input format:
```
&SYSTEM
  ibrav = 0, nat = 20, ntyp = 4
/
ATOMIC_SPECIES
Li 6.94 Li.upf
Ag 107.87 Ag.upf
Ge 72.64 Ge.upf
Cl 35.45 Cl.upf
ATOMIC_POSITIONS crystal
Li 0.133 0.293 0.397
Li 0.293 0.133 0.897
Li 0.707 0.867 0.103
Li 0.867 0.707 0.603
Ag 0.090 0.910 0.250
Ag 0.910 0.090 0.750
Ge 0.312 0.688 0.750
Ge 0.688 0.312 0.250
Cl 0.096 0.681 0.851
Cl 0.107 0.242 0.711
Cl 0.242 0.107 0.211
Cl 0.280 0.513 0.431
Cl 0.319 0.904 0.649
Cl 0.487 0.720 0.069
Cl 0.513 0.280 0.931
Cl 0.681 0.096 0.351
Cl 0.720 0.487 0.569
Cl 0.758 0.893 0.789
Cl 0.893 0.758 0.289
Cl 0.904 0.319 0.149
CELL_PARAMETERS angstrom
6.607 -6.849 0.000
6.607 6.849 0.000
-2.189 0.000 6.434
```

10.
Entry from the Alexandria database: an optimized crystal structure of CuTcPd2 (PBE). Values from VASP.

Calculated values
Magnetic moment, μB per atom: 0.631
Energy above the lowest structure with this stoichiometry, meV per atom: 637
ρ, Mg/m³: 9.69
Electronic total energy, eV/atom: -5.59

The structure in Quantum ESPRESSO input format:
```
&SYSTEM
  ibrav = 0, nat = 8, ntyp = 3
/
ATOMIC_SPECIES
Cu 63.55 Cu.upf
Tc 98.00 Tc.upf
Pd 106.42 Pd.upf
ATOMIC_POSITIONS crystal
Cu 0.000 0.000 0.000
Cu 0.750 0.250 0.500
Tc 0.250 0.750 0.500
Tc 0.500 0.500 0.000
Pd 0.115 0.625 0.990
Pd 0.375 0.365 0.490
Pd 0.635 0.125 0.010
Pd 0.875 0.885 0.510
CELL_PARAMETERS angstrom
-3.466 3.466 2.671
3.466 -3.466 2.671
3.466 3.466 -2.671
```

11.
Entry from the Alexandria database: an optimized crystal structure of Zr3NiSb (PBE). Values from VASP.

Calculated values
Formation energy without anion corrections, eV/atom: -0.0975
Magnetic moment, μB per atom: 0.000
Energy above the lowest structure with this stoichiometry, meV per atom: 0
ρ, Mg/m³: 6.56
Electronic total energy, eV/atom: -7.21

The structure in Quantum ESPRESSO input format:
```
&SYSTEM
  ibrav = 0, nat = 5, ntyp = 3
/
ATOMIC_SPECIES
Zr 91.22 Zr.upf
Ni 58.69 Ni.upf
Sb 121.76 Sb.upf
ATOMIC_POSITIONS crystal
Zr 0.000 0.000 0.500
Zr 0.000 0.500 0.000
Zr 0.500 0.000 0.000
Ni 0.000 0.000 0.000
Sb 0.500 0.500 0.500
CELL_PARAMETERS angstrom
4.861 0.000 0.000
0.000 4.861 0.000
0.000 0.000 4.861
```

12.
Entry from the Alexandria database: an optimized crystal structure of MgTiCo (PBE). Values from VASP.

Calculated values
Magnetic moment, μB per atom: 0.000
Energy above the lowest structure with this stoichiometry, meV per atom: 0
ρ, Mg/m³: 4.69
Electronic total energy, eV/atom: -5.72

The structure in Quantum ESPRESSO input format:
```
&SYSTEM
  ibrav = 0, nat = 6, ntyp = 3
/
ATOMIC_SPECIES
Mg 24.30 Mg.upf
Ti 47.87 Ti.upf
Co 58.93 Co.upf
ATOMIC_POSITIONS crystal
Mg 0.250 0.250 0.116
Mg 0.750 0.750 0.884
Ti 0.250 0.250 0.407
Ti 0.750 0.750 0.593
Co 0.250 0.250 0.715
Co 0.750 0.750 0.285
CELL_PARAMETERS angstrom
3.046 0.000 0.000
0.000 3.046 0.000
0.000 0.000 10.006
```

13.
Entry from the Alexandria database: an optimized crystal structure of ZnI2 (PBE). Values from VASP.

Calculated values
Formation energy without anion corrections, eV/atom: 0.4977
Magnetic moment, μB per atom: 0.000
ρ, Mg/m³: 4.73
Electronic total energy, eV/atom: -0.96

The structure in Quantum ESPRESSO input format:
```
&SYSTEM
  ibrav = 0, nat = 3, ntyp = 2
/
ATOMIC_SPECIES
Zn 65.41 Zn.upf
I 126.90 I.upf
ATOMIC_POSITIONS crystal
Zn 0.000 0.000 0.000
I 0.333 0.667 0.500
I 0.667 0.333 0.500
CELL_PARAMETERS angstrom
5.560 0.000 0.000
-2.780 4.815 0.000
0.000 0.000 4.188
```

14.
Entry from the Alexandria database: an optimized crystal structure of GaFeSn2Br (PBE). Values from VASP.

Calculated values
Formation energy without anion corrections, eV/atom: -0.2260
Magnetic moment, μB per atom: 0.000
ρ, Mg/m³: 6.36
Electronic total energy, eV/atom: -4.46

The structure in Quantum ESPRESSO input format:
```
&SYSTEM
  ibrav = 0, nat = 5, ntyp = 4
/
ATOMIC_SPECIES
Ga 69.72 Ga.upf
Fe 55.84 Fe.upf
Sn 118.71 Sn.upf
Br 79.90 Br.upf
ATOMIC_POSITIONS crystal
Ga 0.000 0.000 0.000
Fe 0.000 0.000 0.500
Sn 0.000 0.500 0.500
Sn 0.500 0.000 0.500
Br 0.500 0.500 0.000
CELL_PARAMETERS angstrom
4.942 0.000 0.000
0.000 4.942 0.000
0.000 0.000 4.738
```

15.
Entry from the Alexandria database: an optimized crystal structure of La2TaMo (PBE). Values from VASP.

Calculated values
Magnetic moment, μB per atom: 0.000
Energy above the lowest structure with this stoichiometry, meV per atom: 457
ρ, Mg/m³: 9.86
Electronic total energy, eV/atom: -7.45

The structure in Quantum ESPRESSO input format:
```
&SYSTEM
  ibrav = 0, nat = 4, ntyp = 3
/
ATOMIC_SPECIES
La 138.91 La.upf
Ta 180.95 Ta.upf
Mo 95.94 Mo.upf
ATOMIC_POSITIONS crystal
La 0.111 0.000 0.254
La 0.889 0.000 0.746
Ta 0.500 0.500 0.000
Mo 0.500 0.500 0.500
CELL_PARAMETERS angstrom
3.094 0.000 0.000
0.000 5.309 0.000
-1.163 0.000 5.685
```

16.
Entry from the Alexandria database: an optimized crystal structure of PrTi2Pt3 (PBE). Values from VASP.

Calculated values
Magnetic moment, μB per atom: 0.000
ρ, Mg/m³: 11.42
Electronic total energy, eV/atom: -7.32

The structure in Quantum ESPRESSO input format:
```
&SYSTEM
  ibrav = 0, nat = 12, ntyp = 3
/
ATOMIC_SPECIES
Pr 140.91 Pr.upf
Ti 47.87 Ti.upf
Pt 195.08 Pt.upf
ATOMIC_POSITIONS crystal
Pr 0.167 0.833 0.750
Pr 0.833 0.167 0.250
Ti 0.292 0.292 0.000
Ti 0.292 0.292 0.500
Ti 0.708 0.708 0.000
Ti 0.708 0.708 0.500
Pt 0.031 0.646 0.250
Pt 0.354 0.969 0.250
Pt 0.456 0.544 0.250
Pt 0.544 0.456 0.750
Pt 0.646 0.031 0.750
Pt 0.969 0.354 0.750
CELL_PARAMETERS angstrom
5.232 -4.029 0.000
5.232 4.029 0.000
0.000 0.000 5.671
```

17.
Entry from the Alexandria database: an optimized crystal structure of PmPrTh3 (PBE). Values from VASP.

Calculated values
Magnetic moment, μB per atom: 0.000
ρ, Mg/m³: 9.02
Electronic total energy, eV/atom: -6.01

The structure in Quantum ESPRESSO input format:
```
&SYSTEM
  ibrav = 0, nat = 10, ntyp = 3
/
ATOMIC_SPECIES
Pm 145.00 Pm.upf
Pr 140.91 Pr.upf
Th 232.04 Th.upf
ATOMIC_POSITIONS crystal
Pm 0.453 0.203 0.250
Pm 0.547 0.797 0.750
Pr 0.000 0.000 0.500
Pr 0.000 0.500 0.000
Th 0.000 0.170 0.170
Th 0.000 0.500 0.500
Th 0.000 0.830 0.830
Th 0.500 0.170 0.670
Th 0.500 0.500 0.000
Th 0.500 0.830 0.330
CELL_PARAMETERS angstrom
-4.996 5.991 3.018
4.996 -5.991 3.018
4.996 5.991 -3.018
```

18.
Entry from the Alexandria database: an optimized crystal structure of SrNiSe2 (PBE). Values from VASP.

Calculated values
Formation energy without anion corrections, eV/atom: -0.4943
Magnetic moment, μB per atom: 0.000
Energy above the lowest structure with this stoichiometry, meV per atom: 509
ρ, Mg/m³: 5.84
Electronic total energy, eV/atom: -4.10

The structure in Quantum ESPRESSO input format:
```
&SYSTEM
  ibrav = 0, nat = 4, ntyp = 3
/
ATOMIC_SPECIES
Sr 87.62 Sr.upf
Ni 58.69 Ni.upf
Se 78.96 Se.upf
ATOMIC_POSITIONS crystal
Sr 0.000 0.000 0.000
Ni 0.500 0.500 0.000
Se 0.000 0.500 0.500
Se 0.500 0.000 0.500
CELL_PARAMETERS angstrom
4.909 0.000 0.000
0.000 4.909 0.000
0.000 0.000 3.587
```

19.
Entry from the Alexandria database: an optimized crystal structure of PmPrNi2Ge2 (PBE). Values from VASP.

Calculated values
Magnetic moment, μB per atom: 0.000
ρ, Mg/m³: 7.43
Electronic total energy, eV/atom: -5.76

The structure in Quantum ESPRESSO input format:
```
&SYSTEM
  ibrav = 0, nat = 6, ntyp = 4
/
ATOMIC_SPECIES
Pm 145.00 Pm.upf
Pr 140.91 Pr.upf
Ni 58.69 Ni.upf
Ge 72.64 Ge.upf
ATOMIC_POSITIONS crystal
Pm 0.000 0.000 0.000
Pr 0.000 0.000 0.500
Ni 0.333 0.667 0.244
Ni 0.667 0.333 0.756
Ge 0.333 0.667 0.753
Ge 0.667 0.333 0.247
CELL_PARAMETERS angstrom
4.127 0.000 0.000
-2.064 3.574 0.000
0.000 0.000 8.315
```

20.
Entry from the Alexandria database: an optimized crystal structure of Sr3AlZn2 (PBE). Values from VASP.

Calculated values
Magnetic moment, μB per atom: 0.000
ρ, Mg/m³: 3.54
Electronic total energy, eV/atom: -2.06

The structure in Quantum ESPRESSO input format:
```
&SYSTEM
  ibrav = 0, nat = 24, ntyp = 3
/
ATOMIC_SPECIES
Sr 87.62 Sr.upf
Al 26.98 Al.upf
Zn 65.41 Zn.upf
ATOMIC_POSITIONS crystal
Sr 0.058 0.250 0.123
Sr 0.119 0.750 0.564
Sr 0.201 0.250 0.805
Sr 0.299 0.750 0.305
Sr 0.381 0.250 0.064
Sr 0.442 0.750 0.623
Sr 0.558 0.250 0.377
Sr 0.619 0.750 0.936
Sr 0.701 0.250 0.695
Sr 0.799 0.750 0.195
Sr 0.881 0.250 0.436
Sr 0.942 0.750 0.877
Al 0.128 0.250 0.371
Al 0.372 0.750 0.871
Al 0.628 0.250 0.129
Al 0.872 0.750 0.629
Zn 0.043 0.750 0.320
Zn 0.201 0.750 0.988
Zn 0.299 0.250 0.488
Zn 0.457 0.250 0.820
Zn 0.543 0.750 0.180
Zn 0.701 0.750 0.512
Zn 0.799 0.250 0.012
Zn 0.957 0.250 0.680
CELL_PARAMETERS angstrom
13.030 0.000 0.000
0.000 4.667 0.000
0.000 0.000 12.985
```